Entry 1:
Entry from Alexandria via LeMat-Bulk: crystalline LiBiPb2 at its relaxed geometry (PBE).

## Properties
- calculated formation energy (eV per atom) = -0.137

Structure (CIF):
```
data_LiBiPb2
_cell_length_a 4.947
_cell_length_b 4.947
_cell_length_c 4.723
_cell_angle_alpha 90.00
_cell_angle_beta 90.00
_cell_angle_gamma 90.00
_space_group_name_H-M_alt 'P 4/m m m'
_space_group_IT_number 123
_space_group_name_Hall '-P 4 2'
loop_
_atom_site_label
_atom_site_fract_x
_atom_site_fract_y
_atom_site_fract_z
_atom_site_occupancy
Li1 0.000 0.000 0.000 1
Bi1 0.500 0.500 0.000 1
Pb1 0.000 0.500 0.500 1
```



Entry 2:
Entry from Alexandria via LeMat-Bulk: crystalline YAl2GaCo2 at its relaxed geometry (PBE).

## Properties
- calculated formation energy (eV per atom) = -0.205

Structure (CIF):
```
data_YAl2GaCo2
_cell_length_a 4.346
_cell_length_b 4.346
_cell_length_c 5.564
_cell_angle_alpha 90.00
_cell_angle_beta 90.00
_cell_angle_gamma 90.00
_space_group_name_H-M_alt 'P 4/m m m'
_space_group_IT_number 123
_space_group_name_Hall '-P 4 2'
loop_
_atom_site_label
_atom_site_fract_x
_atom_site_fract_y
_atom_site_fract_z
_atom_site_occupancy
Y1 0.000 0.000 0.000 1
Al1 0.500 0.500 0.251 1
Ga1 0.000 0.000 0.500 1
Co1 0.000 0.500 0.500 1
```



Entry 3:
Entry from Alexandria via LeMat-Bulk: crystalline PmZn4Pt at its relaxed geometry (PBE).

## Properties
- ΔE to the lowest computed polymorph (eV per atom) = 0.1022
- calculated formation energy (eV per atom) = -0.365

Structure (CIF):
```
data_PmZn4Pt
_cell_length_a 7.435
_cell_length_b 7.435
_cell_length_c 7.435
_cell_angle_alpha 90.00
_cell_angle_beta 90.00
_cell_angle_gamma 90.00
_space_group_name_H-M_alt 'F -4 3 m'
_space_group_IT_number 216
_space_group_name_Hall 'F -4 2 3'
loop_
_atom_site_label
_atom_site_fract_x
_atom_site_fract_y
_atom_site_fract_z
_atom_site_occupancy
Pm1 0.000 0.000 0.000 1
Zn1 0.124 0.124 0.624 1
Pt1 0.250 0.250 0.250 1
```



Entry 4:
Entry from Alexandria via LeMat-Bulk: crystalline Y5HfAs6 at its relaxed geometry (PBE).

## Properties
- calculated formation energy (eV per atom) = -1.463

Structure (CIF):
```
data_Y5HfAs6
_cell_length_a 7.049
_cell_length_b 12.197
_cell_length_c 7.041
_cell_angle_alpha 90.00
_cell_angle_beta 109.56
_cell_angle_gamma 90.00
_space_group_name_H-M_alt 'C 1 2/m 1'
_space_group_IT_number 12
loop_
_space_group_symop_operation_xyz
'x,y,z'
'-x,-y,-z'
'-x,y,-z'
'x,-y,z'
'x+1/2,y+1/2,z'
'-x+1/2,-y+1/2,-z'
'-x+1/2,y+1/2,-z'
'x+1/2,-y+1/2,z'
loop_
_atom_site_label
_atom_site_fract_x
_atom_site_fract_y
_atom_site_fract_z
_atom_site_occupancy
Y1 0.000 0.000 0.000 1
Y2 0.000 0.166 0.500 1
Y3 0.000 0.330 0.000 1
Hf1 0.000 0.500 0.500 1
As1 0.240 0.500 0.255 1
As2 0.242 0.339 0.742 1
```



Number 1: VASP energy -3.4397 eV/atom. Number 2: VASP energy -5.4026 eV/atom. Number 3: VASP energy -3.0124 eV/atom. Number 4: VASP energy -7.3110 eV/atom.